# ThBi, relaxed, DFT PBE
data_ThBi
_chemical_formula_sum 'Th2 Bi2'
_symmetry_space_group_name_H-M 'P 1'
_symmetry_Int_Tables_number 1
_cell_length_a 4.460
_cell_length_b 4.460
_cell_length_c 7.878
_cell_angle_alpha 90.00
_cell_angle_beta 90.00
_cell_angle_gamma 120.00
loop_
_symmetry_equiv_pos_as_xyz
'x,y,z'
loop_
_atom_site_label
_atom_site_fract_x
_atom_site_fract_y
_atom_site_fract_z
Th1 0.667 0.333 0.750
Th2 0.333 0.667 0.250
Bi1 0.000 0.000 0.500
Bi2 0.000 0.000 0.000
# Energy, Ry/atom: -0.459
# Magnetic moment, Bohr magnetons per cell: 0.00
# Volume, Å³/cell: 135.7

---

# Ho2Se, relaxed, DFT PBE
data_Ho2Se
_chemical_formula_sum 'Ho4 Se2'
_symmetry_space_group_name_H-M 'P 1'
_symmetry_Int_Tables_number 1
_cell_length_a 6.183
_cell_length_b 6.183
_cell_length_c 6.183
_cell_angle_alpha 60.00
_cell_angle_beta 60.00
_cell_angle_gamma 60.00
loop_
_symmetry_equiv_pos_as_xyz
'x,y,z'
loop_
_atom_site_label
_atom_site_fract_x
_atom_site_fract_y
_atom_site_fract_z
Se1 0.000 0.000 0.000
Se2 0.250 0.250 0.250
Ho1 0.125 0.625 0.625
Ho2 0.625 0.625 0.125
Ho3 0.625 0.125 0.625
Ho4 0.625 0.625 0.625
# Energy, Ry/atom: -0.310
# Magnetic moment, Bohr magnetons per cell: 0.02
# Volume, Å³/cell: 167.1

---

# Sb2PbAu, relaxed, DFT PBE
data_Sb2PbAu
_chemical_formula_sum 'Sb2 Pb1 Au1'
_symmetry_space_group_name_H-M 'P 1'
_symmetry_Int_Tables_number 1
_cell_length_a 5.278
_cell_length_b 5.278
_cell_length_c 5.278
_cell_angle_alpha 60.00
_cell_angle_beta 60.00
_cell_angle_gamma 60.00
loop_
_symmetry_equiv_pos_as_xyz
'x,y,z'
loop_
_atom_site_label
_atom_site_fract_x
_atom_site_fract_y
_atom_site_fract_z
Au1 0.250 0.250 0.250
Pb1 0.500 0.500 0.500
Sb1 0.000 0.000 0.000
Sb2 0.750 0.750 0.750
# Energy, Ry/atom: -0.268
# Volume, Å³/cell: 104.0

---

# CsFeAgTe3, relaxed, DFT PBE
data_CsFeAgTe3
_chemical_formula_sum 'Cs2 Fe2 Ag2 Te6'
_symmetry_space_group_name_H-M 'P 1'
_symmetry_Int_Tables_number 1
_cell_length_a 8.883
_cell_length_b 8.883
_cell_length_c 10.753
_cell_angle_alpha 90.00
_cell_angle_beta 90.00
_cell_angle_gamma 154.35
loop_
_symmetry_equiv_pos_as_xyz
'x,y,z'
loop_
_atom_site_label
_atom_site_fract_x
_atom_site_fract_y
_atom_site_fract_z
Cs1 0.262 0.738 0.250
Cs2 0.738 0.262 0.750
Te1 0.899 0.101 0.014
Te2 0.899 0.101 0.486
Te3 0.101 0.899 0.986
Te4 0.101 0.899 0.514
Te5 0.436 0.564 0.750
Te6 0.564 0.436 0.250
Fe1 0.500 0.500 0.500
Fe2 0.500 0.500 0.000
Ag1 0.949 0.051 0.250
Ag2 0.051 0.949 0.750
# Energy, Ry/atom: -0.277
# Magnetic moment, Bohr magnetons per cell: 3.91
# Volume, Å³/cell: 367.3

---

# DyMoW, relaxed, DFT PBE
data_DyMoW
_chemical_formula_sum 'Dy1 Mo1 W1'
_symmetry_space_group_name_H-M 'P 1'
_symmetry_Int_Tables_number 1
_cell_length_a 4.517
_cell_length_b 4.517
_cell_length_c 4.517
_cell_angle_alpha 60.00
_cell_angle_beta 60.00
_cell_angle_gamma 60.00
loop_
_symmetry_equiv_pos_as_xyz
'x,y,z'
loop_
_atom_site_label
_atom_site_fract_x
_atom_site_fract_y
_atom_site_fract_z
Dy1 0.000 0.000 0.000
Mo1 0.250 0.250 0.250
W1 0.750 0.750 0.750
# Energy relative to the elements, meV per atom: 1973
# Magnetic moment, Bohr magnetons per cell: 0.01
# Volume, Å³/cell: 65.2

---

# Zr2Pd, relaxed, DFT PBE
data_Zr2Pd
_chemical_formula_sum 'Zr8 Pd4'
_symmetry_space_group_name_H-M 'P 1'
_symmetry_Int_Tables_number 1
_cell_length_a 16.140
_cell_length_b 3.059
_cell_length_c 4.852
_cell_angle_alpha 90.00
_cell_angle_beta 90.00
_cell_angle_gamma 90.00
loop_
_symmetry_equiv_pos_as_xyz
'x,y,z'
loop_
_atom_site_label
_atom_site_fract_x
_atom_site_fract_y
_atom_site_fract_z
Pd1 0.778 0.000 0.500
Pd2 0.278 0.500 0.500
Pd3 0.666 0.000 0.000
Pd4 0.166 0.500 0.000
Zr1 0.817 0.500 0.000
Zr2 0.503 0.500 0.000
Zr3 0.942 0.500 0.500
Zr4 0.442 0.000 0.500
Zr5 0.128 0.000 0.500
Zr6 0.003 0.000 0.000
Zr7 0.628 0.500 0.500
Zr8 0.317 0.000 0.000
# Energy relative to the elements, meV per atom: -385
# Magnetic moment, Bohr magnetons per cell: 0.02
# Volume, Å³/cell: 239.6

---

# LaDyGa2Pd4, relaxed, DFT PBE
data_LaDyGa2Pd4
_chemical_formula_sum 'La1 Dy1 Ga2 Pd4'
_symmetry_space_group_name_H-M 'P 1'
_symmetry_Int_Tables_number 1
_cell_length_a 4.449
_cell_length_b 4.449
_cell_length_c 9.295
_cell_angle_alpha 90.00
_cell_angle_beta 90.00
_cell_angle_gamma 120.00
loop_
_symmetry_equiv_pos_as_xyz
'x,y,z'
loop_
_atom_site_label
_atom_site_fract_x
_atom_site_fract_y
_atom_site_fract_z
Ga1 0.667 0.333 0.241
Ga2 0.667 0.333 0.759
Pd1 0.000 0.000 0.684
Pd2 0.000 0.000 0.316
Pd3 0.333 0.667 0.164
Pd4 0.333 0.667 0.836
La1 0.333 0.667 0.500
Dy1 0.000 0.000 0.000
# Energy, Ry/atom: -0.397
# Magnetic moment, Bohr magnetons per cell: 0.00
# Volume, Å³/cell: 159.3

---

# TbDy2Mg3Tl2In, relaxed, DFT PBE
data_TbDy2Mg3Tl2In
_chemical_formula_sum 'Tb1 Dy2 Mg3 Tl2 In1'
_symmetry_space_group_name_H-M 'P 1'
_symmetry_Int_Tables_number 1
_cell_length_a 4.676
_cell_length_b 7.529
_cell_length_c 7.529
_cell_angle_alpha 120.06
_cell_angle_beta 90.00
_cell_angle_gamma 90.00
loop_
_symmetry_equiv_pos_as_xyz
'x,y,z'
loop_
_atom_site_label
_atom_site_fract_x
_atom_site_fract_y
_atom_site_fract_z
In1 0.000 0.000 0.000
Tl1 0.500 0.333 0.667
Tl2 0.500 0.667 0.333
Mg1 0.500 0.241 0.000
Mg2 0.500 0.759 0.759
Mg3 0.500 0.000 0.241
Tb1 0.000 0.434 0.434
Dy1 0.000 0.566 0.000
Dy2 0.000 0.000 0.566
# Energy, Ry/atom: -0.238
# Magnetic moment, Bohr magnetons per cell: 0.00
# Volume, Å³/cell: 229.4